Computed, not measured: crystalline La5DyMg4 at its relaxed geometry at the PBE level of DFT.

Summary:
The value obtained for the density is 5.0 g cm⁻³. The calculation puts the formation energy at -0.0764 eV/atom.

a b c (Å): 3.9174 3.9174 20.8113
angles (deg): 90.00 90.00 90.00
With the nearest neighbours (Å) after each atom.
Fractional positions:
La (0.5000, 0.5000, 0.1139)  4 Mg 3.41, 4 Dy 3.65
La (0.5000, 0.5000, 0.3070)  8 Mg 3.42-3.43
La (0.5000, 0.5000, 0.5000)  8 Mg 3.42
La (0.5000, 0.5000, 0.6930)  8 Mg 3.42-3.43
La (0.5000, 0.5000, 0.8861)  4 Mg 3.41, 4 Dy 3.65
Dy (0.0000, 0.0000, 0.0000)  8 La 3.65, 4 Dy 3.92
Mg (0.0000, 0.0000, 0.2097)  8 La 3.41-3.43
Mg (0.0000, 0.0000, 0.4034)  8 La 3.42
Mg (0.0000, 0.0000, 0.5966)  8 La 3.42
Mg (0.0000, 0.0000, 0.7903)  8 La 3.41-3.43